Entry 1:
A plane-wave DFT calculation with PBE was carried out for crystalline SiBRhS at its relaxed geometry.

Cell: 3.0339 3.8034 5.3343 Å, 101.79 97.21 108.22°
Last column: nearest neighbours and their distance in Å.
Atoms (fractional coordinates):
1 Rh 0.0566 0.5170 0.5424  1 B 2.23, 2 Si 2.27-2.32
2 Si 0.6326 0.8023 0.3263  1 B 1.97
3 S 0.2299 0.1911 0.9019  2 B 1.91-1.93
4 B 0.7835 0.1881 0.1237  2 S 1.91-1.93, 1 Si 1.97

Total magnetization = 0.00 μB/f.u.
E above lowest polymorph = 0.1362 eV/atom
Volume = 14.0 A^3/atom
VASP energy = -6.039 eV/atom


Entry 2:
A plane-wave DFT calculation with PBE was carried out for crystalline SiBRhS at its relaxed geometry.

Cell: 4.8956 3.1864 7.5494 Å, 90.00 102.84 90.00°
Last column: nearest neighbours and their distance in Å.
Atoms (fractional coordinates):
1 B 0.7313 0.0000 0.3773  1 S 1.83
2 Si 0.4415 0.0000 0.9158  2 B 2.20, 2 Rh 2.46
3 S 0.0608 0.5000 0.8008  1 B 1.83
4 Rh 0.6609 0.5000 0.1528  3 B 2.18-2.30
5 Si 0.4415 0.5000 0.4158  2 B 2.20, 2 Rh 2.46
6 B 0.7313 0.5000 0.8773  1 S 1.83
7 Rh 0.6609 0.0000 0.6528  3 B 2.18-2.30
8 S 0.0608 0.0000 0.3008  1 B 1.83

Total magnetization = 0.00 μB/f.u.
E above lowest polymorph = 0.2266 eV/atom
Volume = 14.4 A^3/atom
VASP energy = -5.948 eV/atom


Entry 3:
A plane-wave DFT calculation with PBE was carried out for crystalline SiBRhS at its relaxed geometry.

Cell: 3.0362 2.9964 6.0841 Å, 90.00 90.11 90.00°
Last column: nearest neighbours and their distance in Å.
Atoms (fractional coordinates):
1 Rh 0.1008 0.0000 0.6429  2 B 2.25, 4 Si 2.43
2 Si 0.5997 0.5000 0.4528  1 S 2.19, 4 Rh 2.43
3 B 0.6024 0.0000 0.9167  2 S 1.84
4 S 0.6069 0.5000 0.0933  2 B 1.84

Total magnetization = 0.00 μB/f.u.
E above lowest polymorph = 0.1028 eV/atom
Volume = 13.8 A^3/atom
VASP energy = -6.072 eV/atom


Entry 4:
A plane-wave DFT calculation with PBE was carried out for crystalline SiBRhS at its relaxed geometry.

Cell: 3.9185 2.9101 5.2893 Å, 90.00 90.77 90.00°
Last column: nearest neighbours and their distance in Å.
Atoms (fractional coordinates):
1 S 0.3155 0.5000 0.9307  2 B 1.83
2 Rh 0.2955 0.5000 0.4748  1 S 2.41, 4 Si 2.43-2.53, 2 B 2.59
3 Si 0.8090 0.0000 0.3905  1 B 1.97
4 B 0.4898 0.0000 0.0984  2 S 1.83, 1 Si 1.97

Total magnetization = 0.00 μB/f.u.
E above lowest polymorph = 0.1514 eV/atom
Volume = 15.1 A^3/atom
VASP energy = -6.023 eV/atom


Entry 5:
A plane-wave DFT calculation with PBE was carried out for crystalline SiBRhS at its relaxed geometry.

Cell: 6.6093 3.0144 7.4198 Å, 90.00 123.62 90.00°
Last column: nearest neighbours and their distance in Å.
Atoms (fractional coordinates):
1 B 0.8740 0.5000 0.3221  2 S 1.88, 1 Si 2.01
2 B 0.8740 0.0000 0.8221  2 S 1.88, 1 Si 2.01
3 Si 0.6736 0.0000 0.4964  1 B 2.01
4 Si 0.6736 0.5000 0.9964  1 B 2.01
5 S 0.0638 0.0000 0.4741  2 B 1.88
6 Rh 0.4942 0.5000 0.2151  1 B 2.17, 2 Si 2.30, 1 S 2.38
7 S 0.0638 0.5000 0.9741  2 B 1.88
8 Rh 0.4942 0.0000 0.7151  1 B 2.17, 2 Si 2.30, 1 S 2.38

Total magnetization = 0.00 μB/f.u.
E above lowest polymorph = 0.0501 eV/atom
Volume = 15.4 A^3/atom
VASP energy = -6.125 eV/atom


Entry 6:
A plane-wave DFT calculation with PBE was carried out for crystalline SiBRhS at its relaxed geometry.

Cell: 3.1736 2.9775 5.9504 Å, 90.00 95.90 90.00°
Last column: nearest neighbours and their distance in Å.
Atoms (fractional coordinates):
1 Rh 0.6112 0.0000 0.6025  2 S 2.34-2.36, 2 Si 2.36
2 Si 0.7385 0.5000 0.3092  2 B 2.04-2.08
3 B 0.1862 0.5000 0.0868  2 S 1.87, 2 Si 2.04-2.08
4 S 0.1626 0.0000 0.8959  2 B 1.87

Total magnetization = 0.00 μB/f.u.
E above lowest polymorph = 0.1229 eV/atom
Volume = 14.0 A^3/atom
VASP energy = -6.052 eV/atom


Calculated DOS(E_F) in order - 0.848, 3.173, 0.957, 1.198, 0.410, 0.820 states/eV per cell